Ca2Pm5Pb4 | Alexandria via LeMat-Bulk | GGA-PBE | relaxed; size of the total moment = 0.0 μB per formula unit; formation enthalpy at 0 K = -0.26 eV/atom
1.0
-2.9131 0.1026 -3.1869
-5.7812 -2.7620 5.1956
3.1618 12.0284 0.4236
Ca Pm Pb
2 5 4
Direct
0.5693 0.5140 0.1387 Ca
0.4307 0.4860 0.8613 Ca
0.1786 0.9013 0.3571 Pm
0.8214 0.0987 0.6429 Pm
0.1519 0.3230 0.3038 Pm
0.5000 0.0000 0.0000 Pm
0.8481 0.6770 0.6962 Pm
0.7148 0.6680 0.4296 Pb
0.0372 0.7855 0.0745 Pb
0.2852 0.3320 0.5704 Pb
0.9628 0.2145 0.9255 Pb